# 1
Material: CsErZnSe3
Method: DFT, PBE-GGA
State: relaxed

It has space group P2_1/m (No. 11), with a = 9.6984 Å, b = 4.1631 Å, c = 10.2987 Å, α = 90.00°, β = 112.22° and γ = 90.00°. The asymmetric unit holds Cs at (0.2180, 0.2500, 0.2442), Er at (0.3317, 0.7500, 0.8630), Zn at (0.0832, 0.2500, 0.6104), Se at (0.1247, 0.2500, 0.8589), Se at (0.1949, 0.7500, 0.5460) and Se at (0.4766, 0.7500, 0.1553).

For the total magnetic moment, the calculation gives 0.000 μB/atom. The uncorrected formation energy comes out at -1399 meV per atom.


# 2
Material: SrHg2BiPd
Method: DFT, PBE-GGA
State: relaxed

It has space group P4/mmm (No. 123), with a = 5.2438 Å, b = 5.2438 Å, c = 5.5704 Å, α = 90.00°, β = 90.00° and γ = 90.00°. The asymmetric unit holds Sr at (0.0000, 0.0000, 0.0000), Hg at (0.0000, 0.5000, 0.5000), Bi at (0.5000, 0.5000, 0.0000) and Pd at (0.5000, 0.5000, 0.5000).

For the total magnetic moment, the calculation gives 0.000 μB/atom. The calculated formation energy comes out at -0.29 eV per atom.


# 3
Material: SrSmAgHg
Method: DFT, PBE-GGA
State: relaxed

It has space group F-43m (No. 216), with a = 7.6810 Å, b = 7.6810 Å, c = 7.6810 Å, α = 90.00°, β = 90.00° and γ = 90.00°. The asymmetric unit holds Sr at (0.0000, 0.0000, 0.0000), Sm at (0.0000, 0.0000, 0.5000), Ag at (0.2500, 0.2500, 0.7500) and Hg at (0.2500, 0.2500, 0.2500).

For the total magnetic moment, the calculation gives 0.000 μB/atom. The calculated formation energy comes out at -0.34 eV per atom.


# 4
Material: LiY2InP
Method: DFT, PBE-GGA
State: relaxed

It has space group P4/mmm (No. 123), with a = 5.3656 Å, b = 5.3656 Å, c = 4.4840 Å, α = 90.00°, β = 90.00° and γ = 90.00°. The asymmetric unit holds Li at (0.0000, 0.0000, 0.0000), Y at (0.0000, 0.5000, 0.5000), In at (0.5000, 0.5000, 0.0000) and P at (0.0000, 0.0000, 0.5000).

For the total magnetic moment, the calculation gives 0.000 μB/atom. The calculated formation energy comes out at -0.66 eV per atom.


# 5
Material: B2HI8
Method: DFT, PBE-GGA
State: relaxed

It has space group C2/m (No. 12), with a = 12.6409 Å, b = 10.9412 Å, c = 9.1603 Å, α = 90.00°, β = 116.75° and γ = 90.00°. The asymmetric unit holds B at (0.0176, 0.0000, 0.2670), H at (0.0000, 0.5000, 0.0000), I at (0.0365, 0.5000, 0.8178), I at (0.0798, 0.1667, 0.8112) and I at (0.2027, 0.0000, 0.4173).

For the total magnetic moment, the calculation gives 0.000 μB/atom. The energy comes out at -56.9 eV per cell.


# 6
Material: AlMoPt2
Method: DFT, PBE-GGA
State: relaxed

It has space group Imm2 (No. 44), with a = 2.8224 Å, b = 4.5763 Å, c = 9.5537 Å, α = 90.00°, β = 90.00° and γ = 90.00°. The asymmetric unit holds Al at (0.0000, 0.0000, 0.0000), Mo at (0.0000, 0.5000, 0.7340), Pt at (0.0000, 0.0000, 0.4968) and Pt at (0.0000, 0.5000, 0.2845).

For the total magnetic moment, the calculation gives 0.000 μB/atom. The calculated formation energy comes out at -0.42 eV per atom.